Record 1
Li2PrDy2Sb2 | PBE | optimized geometry

Cell lengths 4.767, 4.767, 9.413 Å; angles 75.33, 75.33, 60.00 degrees
Element x y z (fractional)
Sb (0.740, 0.740, 0.780)
Sb (0.260, 0.260, 0.220)
Dy (0.869, 0.869, 0.394)
Dy (0.131, 0.131, 0.606)
Pr (0.000, 0.000, 0.000)
Li (0.589, 0.589, 0.233)
Li (0.411, 0.411, 0.767)

## Properties
Total moment: 0.01 μB/f.u.
Total DFT energy (no corrections): -30.10 eV/cell
Space-group type: R-3m
Calculated density: 6.78 g cm⁻³

---

Record 2
MnVBi2Pt | PBE | optimized geometry

Cell lengths 5.201, 4.795, 5.201 Å; angles 90.00, 90.00, 90.00 degrees
Element x y z (fractional)
Bi (0.500, 0.000, 0.000)
Bi (0.000, 0.000, 0.500)
Pt (0.000, 0.500, 0.000)
V (0.000, 0.000, 0.000)
Mn (0.500, 0.500, 0.500)

## Properties
Total moment: 5.72 μB/f.u.
Total DFT energy (no corrections): -28.27 eV/cell
Space-group type: P4/mmm
E_form: 765 meV per atom
Calculated density: 9.21 g cm⁻³

---

Record 3
Mg3BeMo | PBE | optimized geometry

Cell lengths 4.529, 4.529, 4.529 Å; angles 90.00, 90.00, 90.00 degrees
Element x y z (fractional)
Mg (0.000, 0.000, 0.500)
Mg (0.500, 0.000, 0.000)
Mg (0.000, 0.500, 0.000)
Mo (0.500, 0.500, 0.500)
Be (0.000, 0.000, 0.000)

## Properties
Total moment: 0.00 μB/f.u.
Total DFT energy (no corrections): -14.54 eV/cell
Space-group type: Pm-3m
E_form: 961 meV per atom
E above lowest polymorph: 0.0000 eV per atom
Calculated density: 3.18 g cm⁻³

---

Record 4
CsIn2Au2 | PBE | optimized geometry

Cell lengths 4.916, 5.368, 6.584 Å; angles 107.69, 111.92, 90.00 degrees
Element x y z (fractional)
In (0.347, 0.406, 0.693)
In (0.653, 0.594, 0.307)
Au (0.747, 0.168, 0.494)
Au (0.253, 0.832, 0.506)
Cs (0.000, 0.000, 0.000)

## Properties
Total moment: 0.00 μB/f.u.
Total DFT energy (no corrections): -14.17 eV/cell
Space-group type: C2/m
E_form: -258 meV per atom
E above lowest polymorph: 0.0000 eV per atom
Calculated density: 8.25 g cm⁻³

---

Record 5
CdSn2Mo2 | PBE | optimized geometry

Cell lengths 7.408, 7.408, 3.637 Å; angles 90.00, 90.00, 90.00 degrees
Element x y z (fractional)
Sn (0.157, 0.657, 0.500)
Sn (0.343, 0.157, 0.500)
Sn (0.657, 0.843, 0.500)
Sn (0.843, 0.343, 0.500)
Cd (0.000, 0.000, 0.000)
Cd (0.500, 0.500, 0.000)
Mo (0.136, 0.364, 0.000)
Mo (0.364, 0.864, 0.000)
Mo (0.864, 0.636, 0.000)
Mo (0.636, 0.136, 0.000)

## Properties
Total moment: 0.00 μB/f.u.
Total DFT energy (no corrections): -58.30 eV/cell
Space-group type: P4/mbm
E_form: 286 meV per atom
E above lowest polymorph: 0.0000 eV per atom
Calculated density: 9.01 g cm⁻³

---

Record 6
Ag2AsSe | PBE | optimized geometry

Cell lengths 3.796, 4.639, 4.453 Å; angles 90.00, 90.00, 90.00 degrees
Element x y z (fractional)
Ag (0.500, 0.500, 0.000)
Ag (0.000, 0.000, 0.000)
As (0.500, 0.000, 0.500)
Se (0.000, 0.500, 0.500)

## Properties
Total moment: 0.00 μB/f.u.
Total DFT energy (no corrections): -12.95 eV/cell
Space-group type: Pmmm
Calculated density: 7.83 g cm⁻³

---

Record 7
FeCu3B | PBE | optimized geometry

Cell lengths 3.905, 3.905, 3.905 Å; angles 90.00, 90.00, 90.00 degrees
Element x y z (fractional)
Cu (0.500, 0.000, 0.000)
Cu (0.000, 0.500, 0.000)
Cu (0.000, 0.000, 0.500)
B (0.000, 0.000, 0.000)
Fe (0.500, 0.500, 0.500)

## Properties
Total moment: 3.07 μB/f.u.
Total DFT energy (no corrections): -25.35 eV/cell
Space-group type: Pm-3m
E_form: 415 meV per atom
E above lowest polymorph: 0.0000 eV per atom
Calculated density: 7.17 g cm⁻³

---

Record 8
AcYMgAl | PBE | optimized geometry

Cell lengths 5.465, 5.465, 5.465 Å; angles 60.00, 60.00, 60.00 degrees
Element x y z (fractional)
Al (0.500, 0.500, 0.500)
Ac (0.250, 0.250, 0.250)
Mg (0.000, 0.000, 0.000)
Y (0.750, 0.750, 0.750)

## Properties
Total moment: 0.00 μB/f.u.
Total DFT energy (no corrections): -16.66 eV/cell
Space-group type: F-43m
E_form: -188 meV per atom
Calculated density: 5.28 g cm⁻³